The following is a PBE calculation of an optimized crystal structure of CrCo2Se, from Alexandria.

```
CrCo2Se
1.0
-1.0730 -0.4902 -2.8312
-2.7894 -0.5474 1.1520
-1.2491 5.3953 -0.4607
Co Se Cr
2 1 1
direct
0.5000 0.5000 0.2296 Co
0.0000 0.0000 0.0428 Co
0.5000 0.5000 0.7211 Se
0.0000 0.0000 0.5065 Cr
```

Summary:
Its total energy is -6.59 eV per atom. The energy relative to the elements, uncorrected is 0.24 eV per atom. As for the space group: P4mm, No. 99.

The following is a PBE calculation of an optimized crystal structure of Cd2TcHg, from Alexandria.

```
Cd2TcHg
1.0
-1.8818 -3.6896 0.9261
1.0128 0.5100 4.0897
-3.6550 2.0279 0.6522
Tc Cd Hg
1 2 1
direct
0.0000 0.5000 0.5000 Tc
0.5000 0.5000 0.0000 Cd
0.0000 0.0000 0.0000 Cd
0.5000 0.0000 0.5000 Hg
```

Summary:
Its calculated formation energy is 343.5 meV/atom. Its total energy is -2.78 eV per atom. As for the space group: P4/mmm, No. 123.

The following is a PBE calculation of an optimized crystal structure of La8DyTm2, from Alexandria.

```
La8DyTm2
1.0
-3.4728 -2.6134 -3.8115
4.4337 3.1786 -6.2192
4.3906 -6.8884 5.1065
Tm La Dy
2 8 1
direct
0.7981 0.2986 0.5962 Tm
0.2019 0.7014 0.4038 Tm
0.0001 0.7072 0.0002 La
0.8362 0.8359 0.6724 La
0.9999 0.2928 0.9998 La
0.6355 0.8350 0.2710 La
0.6352 0.4362 0.2703 La
0.3648 0.5638 0.7297 La
0.1638 0.1641 0.3276 La
0.3645 0.1650 0.7290 La
0.5000 0.0000 0.0000 Dy
```

Summary:
Its calculated formation energy is 104.4 meV/atom. Its total energy is -4.71 eV per atom. As for the space group: Immm, No. 71.

The following is a PBE calculation of an optimized crystal structure of ZrAl2Cu, from Alexandria.

```
ZrAl2Cu
1.0
3.0216 0.0347 0.0000
-0.0325 3.0217 0.0000
0.0000 0.0000 7.1221
Al Zr Cu
2 1 1
direct
0.0000 0.0000 0.4573 Al
0.0000 0.0000 0.0427 Al
0.5000 0.5000 0.7500 Zr
0.5000 0.5000 0.2500 Cu
```

Summary:
Its calculated formation energy is -353.6 meV/atom. Its total energy is -5.39 eV per atom. As for the space group: P4/mmm, No. 123.

The following is a PBE calculation of an optimized crystal structure of NdHo4Hg4, from Alexandria.

```
NdHo4Hg4
1.0
5.5003 0.0000 0.0000
0.0000 9.5824 0.0000
0.0000 0.0000 9.5824
Ho Hg Nd
8 8 2
direct
0.0892 0.0896 0.6486 Ho
0.4108 0.5896 0.1486 Ho
0.4108 0.4104 0.8514 Ho
0.0892 0.9104 0.3514 Ho
0.5892 0.1486 0.4104 Ho
0.9108 0.6486 0.9104 Ho
0.5892 0.8514 0.5896 Ho
0.9108 0.3514 0.0896 Ho
0.9106 0.3941 0.7091 Hg
0.0894 0.7091 0.6059 Hg
0.5894 0.1059 0.7909 Hg
0.0894 0.2909 0.3941 Hg
0.4106 0.2091 0.1059 Hg
0.9106 0.6059 0.2909 Hg
0.5894 0.8941 0.2091 Hg
0.4106 0.7909 0.8941 Hg
0.0000 0.0000 0.0000 Nd
0.5000 0.5000 0.5000 Nd
```

Summary:
Its calculated formation energy is -253.4 meV/atom. Its total energy is -2.95 eV per atom. As for the space group: P4_2/n, No. 86.

The following is a PBE calculation of an optimized crystal structure of Ti2IrOs2, from Alexandria.

```
Ti2IrOs2
1.0
-3.4558 -3.3164 0.6895
2.1030 -1.1191 -4.8176
4.3523 -2.2484 4.0325
Ti Ir Os
4 2 4
direct
0.6497 0.2175 0.1970 Ti
0.8216 0.0997 0.6290 Ti
0.1784 0.9003 0.3710 Ti
0.3503 0.7825 0.8030 Ti
0.5896 0.7068 0.1970 Ir
0.4104 0.2932 0.8030 Ir
0.2280 0.4169 0.4049 Os
0.0000 0.0000 0.0000 Os
0.0000 0.5000 0.0000 Os
0.7720 0.5831 0.5951 Os
```

Summary:
Its calculated formation energy is -418.4 meV/atom. Its total energy is -9.84 eV per atom. As for the space group: P-1, No. 2.

> What is the total energy in the second record?

-2.78 eV per atom

Repeat the sixth record exactly.
The following is a PBE calculation of an optimized crystal structure of Ti2IrOs2, from Alexandria.

```
Ti2IrOs2
1.0
-3.4558 -3.3164 0.6895
2.1030 -1.1191 -4.8176
4.3523 -2.2484 4.0325
Ti Ir Os
4 2 4
direct
0.6497 0.2175 0.1970 Ti
0.8216 0.0997 0.6290 Ti
0.1784 0.9003 0.3710 Ti
0.3503 0.7825 0.8030 Ti
0.5896 0.7068 0.1970 Ir
0.4104 0.2932 0.8030 Ir
0.2280 0.4169 0.4049 Os
0.0000 0.0000 0.0000 Os
0.0000 0.5000 0.0000 Os
0.7720 0.5831 0.5951 Os
```

Summary:
Its calculated formation energy is -418.4 meV/atom. Its total energy is -9.84 eV per atom. As for the space group: P-1, No. 2.

> total energy of number 6 (Ti2IrOs2)?

-9.84 eV per atom

> Which formula does entry 4 have?

ZrAl2Cu